8
Lattice="3.2112 0.0000 0.0000 -0.0055 4.9515 0.0000 -1.5853 -2.4465 9.8176" Properties=species:S:1:pos:R:3 comment="AgHg3H4 | Alexandria | GGA-PBE | optimized geometry" energy_ev_per_atom=-1.8377 space_group="No. 2" pbc="T T T"
Ag 0.0000 0.0000 0.0000
Hg 0.0054 0.0184 3.7450
Hg 1.6029 2.4758 0.0000
Hg 1.6151 2.4866 6.0726
H 0.0040 0.0205 2.0389
H 0.0076 0.0145 5.4479
H 1.6129 2.4905 4.3697
H 1.6165 2.4845 7.7787

---

4
Lattice="4.1720 0.0000 0.0000 0.0000 4.1720 0.0000 0.0000 0.0000 3.0251" Properties=species:S:1:pos:R:3 comment="PuPaH2 | Alexandria | GGA-PBE | optimized geometry" e_above_lowest_polymorph_mev_per_atom=402.6 space_group="No. 123" pbc="T T T"
Pu 0.0000 0.0000 0.0000
Pa 2.0860 2.0860 0.0000
H 0.0000 2.0860 1.5125
H 2.0860 0.0000 1.5125

---

4
Lattice="1.5239 0.8798 9.4481 -1.5239 0.8798 9.4481 0.0000 -1.7596 9.4481" Properties=species:S:1:pos:R:3 comment="Sc2CuOs | Alexandria | GGA-PBE | optimized geometry" ef_mev_per_atom=231 e_above_lowest_polymorph_mev_per_atom=640.7 space_group="No. 166" pbc="T T T"
Sc 0.0000 0.0000 2.6805
Sc 0.0000 0.0000 25.6638
Cu 0.0000 0.0000 0.0000
Os 0.0000 0.0000 14.1722

---

4
Lattice="2.4940 0.0000 0.0000 0.0000 2.4940 0.0000 0.0000 0.0000 9.3287" Properties=species:S:1:pos:R:3 comment="Li2CrW | Alexandria | GGA-PBE | optimized geometry" ef_mev_per_atom=665 e_above_lowest_polymorph_mev_per_atom=336.6 space_group="No. 123" pbc="T T T"
Li 0.0000 0.0000 2.2768
Li 0.0000 0.0000 7.0519
Cr 1.2470 1.2470 0.0000
W 1.2470 1.2470 4.6644